# 1
DFT (PBE-GGA) results for a relaxed structure of La2CeIn2Ag2.

Summary:
- Total magnetic moment: 1.0 μB per formula unit
- Space-group type: R-3m, No. 166
- Energy relative to the elements: -2.04 eV/f.u.

abc: 4.9720 4.9720 9.4924
angles: 74.82 74.82 60.00
Last column: nearest neighbours and their distance in Å.
Fractional positions:
La (0.1259, 0.1259, 0.6224)  3 In 3.28, 3 Ag 3.38, 1 Ce 3.42, 3 La 3.63
La (0.8741, 0.8741, 0.3776)  3 In 3.28, 3 Ag 3.38, 1 Ce 3.42, 3 La 3.63
Ce (0.0000, 0.0000, 0.0000)  6 Ag 3.30, 6 In 3.40, 2 La 3.42
In (0.7340, 0.7340, 0.7980)  3 Ag 2.88
In (0.2660, 0.2660, 0.2020)  3 Ag 2.88
Ag (0.6064, 0.6064, 0.1807)  3 In 2.88
Ag (0.3936, 0.3936, 0.8193)  3 In 2.88


# 2
DFT (PBE-GGA) results for a relaxed structure of ZrAg2Pb2.

Summary:
- Energy relative to the lowest polymorph listed for this composition: 33.2 meV/atom
- Total magnetic moment: 0.0 μB per formula unit
- Space-group type: P4/mbm, No. 127
- Energy relative to the elements: 0.90 eV/f.u.

abc: 8.3266 8.3266 3.3924
angles: 90.00 90.00 90.00
Last column: nearest neighbours and their distance in Å.
Fractional positions:
Pb (0.3384, 0.8384, 0.0000)  6 Ag 2.91-3.02, 2 Zr 3.12
Pb (0.8384, 0.6616, 0.0000)  6 Ag 2.91-3.02, 2 Zr 3.12
Pb (0.6616, 0.1616, 0.0000)  6 Ag 2.91-3.02, 2 Zr 3.12
Pb (0.1616, 0.3384, 0.0000)  6 Ag 2.91-3.02, 2 Zr 3.12
Zr (0.0000, 0.0000, 0.0000)  4 Pb 3.12, 2 Zr 3.39
Zr (0.5000, 0.5000, 0.0000)  4 Pb 3.12, 2 Zr 3.39
Ag (0.1371, 0.6371, 0.5000)  6 Pb 2.91-3.02, 1 Ag 3.23
Ag (0.6371, 0.8629, 0.5000)  6 Pb 2.91-3.02, 1 Ag 3.23
Ag (0.8629, 0.3629, 0.5000)  6 Pb 2.91-3.02, 1 Ag 3.23
Ag (0.3629, 0.1371, 0.5000)  6 Pb 2.91-3.02, 1 Ag 3.23


# 3
DFT (PBE-GGA) results for a relaxed structure of Rb2GeCl5.

Summary:
- Total magnetic moment: 0.8 μB per formula unit
- Formation energy (no corrections): -10.88 eV per formula unit
- Space-group type: I4mm, No. 107

abc: 7.6002 7.6002 7.1151
angles: 122.29 122.29 89.99
Last column: nearest neighbours and their distance in Å.
Fractional positions:
Rb (0.2554, 0.7554, 0.5105)  10 Cl 3.53-3.80
Rb (0.7553, 0.2553, 0.5105)  10 Cl 3.53-3.80
Ge (0.9808, 0.9807, 0.9617)  5 Cl 2.25-2.47
Cl (0.7836, 0.2394, 0.0230)  1 Ge 2.47
Cl (0.2393, 0.2393, 0.0228)  1 Ge 2.47
Cl (0.7835, 0.7835, 0.0229)  1 Ge 2.47
Cl (0.2393, 0.7835, 0.0228)  1 Ge 2.47
Cl (0.7398, 0.7399, 0.4798)  1 Ge 2.25


# 4
DFT (PBE-GGA) results for a relaxed structure of TcSb2Rh.

Summary:
- Energy relative to the lowest polymorph listed for this composition: 466.4 meV/atom
- Total magnetic moment: 0.0 μB per formula unit
- Formation energy (no corrections): 1.60 eV per formula unit
- Space-group type: I-42d, No. 122

abc: 5.9280 5.9280 7.2731
angles: 65.95 65.95 90.00
Last column: nearest neighbours and their distance in Å.
Fractional positions:
Sb (0.6261, 0.1250, 0.2500)  2 Rh 2.57, 2 Tc 2.57
Sb (0.1239, 0.6250, 0.2500)  2 Rh 2.57, 2 Tc 2.57
Sb (0.3750, 0.3739, 0.7500)  2 Rh 2.57, 2 Tc 2.57
Sb (0.8750, 0.8761, 0.7500)  2 Rh 2.57, 2 Tc 2.57
Rh (0.0000, 0.0000, 0.0000)  4 Sb 2.57
Rh (0.7500, 0.2500, 0.5000)  4 Sb 2.57
Tc (0.5000, 0.5000, 0.0000)  4 Sb 2.57
Tc (0.2500, 0.7500, 0.5000)  4 Sb 2.57


# 5
DFT (PBE-GGA) results for a relaxed structure of Re4Rh3.

Summary:
- Energy relative to the lowest polymorph listed for this composition: 0.0 meV/atom
- Total magnetic moment: 0.0 μB per formula unit
- Space-group type: I4/mmm, No. 139
- Energy relative to the elements: 1.81 eV/f.u.

abc: 9.9766 9.9766 9.9766
angles: 161.10 161.10 26.85
Last column: nearest neighbours and their distance in Å.
Fractional positions:
Re (0.1423, 0.1423, 0.0000)  4 Re 2.69, 6 Rh 2.71-2.77
Re (0.4286, 0.4286, 0.0000)  5 Re 2.69-2.77, 5 Rh 2.70-2.78
Re (0.5714, 0.5714, 0.0000)  5 Re 2.69-2.77, 5 Rh 2.70-2.78
Re (0.8577, 0.8577, 0.0000)  4 Re 2.69, 6 Rh 2.71-2.77
Rh (0.0000, 0.0000, 0.0000)  10 Re 2.70-2.76
Rh (0.2852, 0.2852, 0.0000)  4 Rh 2.69, 6 Re 2.71-2.78
Rh (0.7148, 0.7148, 0.0000)  4 Rh 2.69, 6 Re 2.71-2.78


# 6
DFT (PBE-GGA) results for a relaxed structure of CdHg2Os.

Summary:
- Total magnetic moment: 0.5 μB per formula unit
- Space-group type: R-3m, No. 166
- Energy relative to the elements: 2.46 eV/f.u.

abc: 11.2816 11.2816 11.2816
angles: 14.79 14.79 14.79
Last column: nearest neighbours and their distance in Å.
Fractional positions:
Os (0.2500, 0.2500, 0.2500)  6 Os 2.90, 6 Hg 2.98
Hg (0.9904, 0.9904, 0.9904)  6 Hg 2.90, 3 Os 2.98
Hg (0.5096, 0.5096, 0.5096)  6 Hg 2.90, 3 Os 2.98
Cd (0.7500, 0.7500, 0.7500)  6 Cd 2.90


# 7
DFT (PBE-GGA) results for a relaxed structure of FeSi2Cl.

Summary:
- Energy relative to the lowest polymorph listed for this composition: 681.8 meV/atom
- Total magnetic moment: 2.4 μB per formula unit
- Formation energy (no corrections): 3.11 eV per formula unit
- Space-group type: Fm-3m, No. 225

abc: 4.4420 4.4420 4.4420
angles: 60.00 60.00 60.00
Last column: nearest neighbours and their distance in Å.
Fractional positions:
Si (0.2500, 0.2500, 0.2500)  4 Fe 2.72, 4 Cl 2.72
Si (0.7500, 0.7500, 0.7500)  4 Cl 2.72, 4 Fe 2.72
Fe (0.5000, 0.5000, 0.5000)  8 Si 2.72
Cl (0.0000, 0.0000, 0.0000)  8 Si 2.72


# 8
DFT (PBE-GGA) results for a relaxed structure of HoPaPdRh.

Summary:
- Total magnetic moment: 0.2 μB per formula unit
- Space-group type: F-43m, No. 216
- Energy relative to the elements: -2.51 eV/f.u.

abc: 4.9096 4.9096 4.9096
angles: 60.00 60.00 60.00
Last column: nearest neighbours and their distance in Å.
Fractional positions:
Pa (0.2500, 0.2500, 0.2500)  4 Rh 3.01, 4 Pd 3.01
Rh (0.5000, 0.5000, 0.5000)  4 Pa 3.01, 4 Ho 3.01
Ho (0.7500, 0.7500, 0.7500)  4 Rh 3.01, 4 Pd 3.01
Pd (0.0000, 0.0000, 0.0000)  4 Pa 3.01, 4 Ho 3.01


# 9
DFT (PBE-GGA) results for a relaxed structure of La3TbPm6Nd2.

Summary:
- Total magnetic moment: 0.0 μB per formula unit
- Space-group type: C2/m, No. 12
- Energy relative to the elements: 0.19 eV/f.u.

abc: 6.3679 6.3679 12.1780
angles: 95.04 95.04 120.04
Last column: nearest neighbours and their distance in Å.
Fractional positions:
La (0.1667, 0.8333, 0.5000)  6 La 3.68, 6 Pm 3.70
La (0.8333, 0.1667, 0.5000)  6 La 3.68, 6 Pm 3.70
La (0.5000, 0.5000, 0.5000)  6 La 3.68, 6 Pm 3.70-3.71
Tb (0.0000, 0.0000, 0.0000)  6 Pm 3.64, 6 Nd 3.68
Pm (0.9178, 0.5854, 0.7529)  1 Tb 3.64, 2 Nd 3.64-3.65, 6 Pm 3.67-3.68, 3 La 3.70
Pm (0.7495, 0.7495, 0.2470)  2 Nd 3.64, 1 Tb 3.64, 6 Pm 3.67-3.68, 3 La 3.70-3.71
Pm (0.0822, 0.4146, 0.2471)  1 Tb 3.64, 2 Nd 3.64-3.65, 6 Pm 3.67-3.68, 3 La 3.70
Pm (0.5854, 0.9178, 0.7529)  1 Tb 3.64, 2 Nd 3.64-3.65, 6 Pm 3.67-3.68, 3 La 3.70
Pm (0.2505, 0.2505, 0.7530)  2 Nd 3.64, 1 Tb 3.64, 6 Pm 3.67-3.68, 3 La 3.70-3.71
Pm (0.4146, 0.0822, 0.2471)  1 Tb 3.64, 2 Nd 3.64-3.65, 6 Pm 3.67-3.68, 3 La 3.70
Nd (0.3333, 0.6667, 0.0000)  6 Pm 3.64-3.65, 3 Nd 3.67-3.68, 3 Tb 3.68
Nd (0.6667, 0.3333, 0.0000)  6 Pm 3.64-3.65, 3 Nd 3.67-3.68, 3 Tb 3.68


# 10
DFT (PBE-GGA) results for a relaxed structure of Ba2Au.

Summary:
- Total magnetic moment: 0.0 μB per formula unit
- Space-group type: Pa-3, No. 205
- Energy relative to the elements: -1.48 eV/f.u.

abc: 8.2003 8.2003 8.2003
angles: 90.00 90.00 90.00
Last column: nearest neighbours and their distance in Å.
Fractional positions:
Au (0.0000, 0.0000, 0.0000)  6 Ba 3.35
Au (0.5000, 0.5000, 0.0000)  6 Ba 3.35
Au (0.5000, 0.0000, 0.5000)  6 Ba 3.35
Au (0.0000, 0.5000, 0.5000)  6 Ba 3.35
Ba (0.6642, 0.6642, 0.3358)  3 Au 3.35
Ba (0.3358, 0.3358, 0.6642)  3 Au 3.35
Ba (0.1642, 0.8358, 0.6642)  3 Au 3.35
Ba (0.8358, 0.1642, 0.3358)  3 Au 3.35
Ba (0.3358, 0.1642, 0.1642)  3 Au 3.35
Ba (0.6642, 0.8358, 0.8358)  3 Au 3.35
Ba (0.8358, 0.3358, 0.8358)  3 Au 3.35
Ba (0.1642, 0.6642, 0.1642)  3 Au 3.35


# 11
DFT (PBE-GGA) results for a relaxed structure of Sc2PH.

Summary:
- Energy relative to the lowest polymorph listed for this composition: 6.3 meV/atom
- Total magnetic moment: 0.0 μB per formula unit
- Space-group type: I-42d, No. 122

abc: 6.1996 6.1996 5.3909
angles: 54.90 54.90 90.00
Last column: nearest neighbours and their distance in Å.
Fractional positions:
Sc (0.5583, 0.1250, 0.2500)  2 H 2.08
Sc (0.1917, 0.6250, 0.2500)  2 H 2.08
Sc (0.3750, 0.4417, 0.7500)  2 H 2.08
Sc (0.8750, 0.8083, 0.7500)  2 H 2.08
P (0.0000, 0.0000, 0.0000)  4 Sc 2.62
P (0.7500, 0.2500, 0.5000)  4 Sc 2.62
H (0.5000, 0.5000, 0.0000)  4 Sc 2.08
H (0.2500, 0.7500, 0.5000)  4 Sc 2.08


# 12
DFT (PBE-GGA) results for a relaxed structure of Y3MnSi.

Summary:
- Energy relative to the lowest polymorph listed for this composition: 0.0 meV/atom
- Total magnetic moment: 0.6 μB per formula unit
- Formation energy (no corrections): 1.34 eV per formula unit
- Space-group type: Pm-3m, No. 221

abc: 5.0484 5.0484 5.0484
angles: 90.00 90.00 90.00
Last column: nearest neighbours and their distance in Å.
Fractional positions:
Y (0.0000, 0.5000, 0.0000)  2 Mn 2.52
Y (0.0000, 0.0000, 0.5000)  2 Mn 2.52
Y (0.5000, 0.0000, 0.0000)  2 Mn 2.52
Si (0.5000, 0.5000, 0.5000)  12 Y 3.57
Mn (0.0000, 0.0000, 0.0000)  6 Y 2.52


no.,theoretical density (Mg/m³)
1,7.40
2,10.19
3,2.59
4,7.07
5,16.80
6,14.34
7,3.95
8,12.01
9,6.84
10,5.68
11,3.36
12,4.51